# 1
A plane-wave DFT calculation with PBE-GGA was carried out for an optimized crystal structure of AcDySb2.

Unit cell a=4.563 b=4.563 c=15.120 alpha=90.00 beta=90.00 gamma=120.00
Sites, in units of the cell vectors:
Ac 0.333 0.667 0.250
Ac 0.667 0.333 0.750
Dy 0.000 0.000 0.000
Dy 0.000 0.000 0.500
Sb 0.333 0.667 0.612
Sb 0.333 0.667 0.888
Sb 0.667 0.333 0.112
Sb 0.667 0.333 0.388

Magnetization: 0.0 μB/f.u.
E: -42.87 eV for the cell shown
DOS(E_F): 1.05 states/eV per cell
Raw formation energy: -4.48 eV per formula unit
ΔE to the lowest computed polymorph: 33 meV per atom

---

# 2
A plane-wave DFT calculation with PBE-GGA was carried out for an optimized crystal structure of AcDySb2.

Unit cell a=8.266 b=8.266 c=8.266 alpha=31.89 beta=31.89 gamma=31.89
Sites, in units of the cell vectors:
Ac 0.000 0.000 0.000
Dy 0.829 0.829 0.829
Sb 0.420 0.420 0.420
Sb 0.575 0.575 0.575

Magnetization: 0.0 μB/f.u.
E: -21.04 eV for the cell shown
DOS(E_F): 0.36 states/eV per cell
Raw formation energy: -4.09 eV per formula unit
ΔE to the lowest computed polymorph: 131 meV per atom

---

# 3
A plane-wave DFT calculation with PBE-GGA was carried out for an optimized crystal structure of AcDy2Sb2.

Unit cell a=8.001 b=7.995 c=4.646 alpha=73.18 beta=73.05 gamma=33.77
Sites, in units of the cell vectors:
Ac 0.000 0.000 0.000
Dy 0.250 0.250 0.250
Dy 0.750 0.750 0.750
Sb 0.392 0.392 0.608
Sb 0.608 0.608 0.392

Magnetization: 0.0 μB/f.u.
E: -25.47 eV for the cell shown
DOS(E_F): 4.80 states/eV per cell
Raw formation energy: -3.91 eV per formula unit

---

# 4
A plane-wave DFT calculation with PBE-GGA was carried out for an optimized crystal structure of AcDy3Sb4.

Unit cell a=7.783 b=7.783 c=4.497 alpha=90.00 beta=90.00 gamma=109.42
Sites, in units of the cell vectors:
Ac 0.000 0.000 0.000
Dy 0.000 0.500 0.500
Dy 0.500 0.000 0.500
Dy 0.500 0.500 0.000
Sb 0.258 0.742 0.000
Sb 0.266 0.266 0.500
Sb 0.734 0.734 0.500
Sb 0.742 0.258 0.000

Magnetization: 0.0 μB/f.u.
E: -43.35 eV for the cell shown
DOS(E_F): 1.06 states/eV per cell
Raw formation energy: -8.95 eV per formula unit

---

# 5
A plane-wave DFT calculation with PBE-GGA was carried out for an optimized crystal structure of AcDy3Sb2.

Unit cell a=9.657 b=9.657 c=9.843 alpha=112.95 beta=112.95 gamma=26.73
Sites, in units of the cell vectors:
Ac 0.113 0.113 0.129
Ac 0.887 0.887 0.871
Dy 0.059 0.059 0.674
Dy 0.311 0.311 0.116
Dy 0.360 0.360 0.523
Dy 0.640 0.640 0.477
Dy 0.689 0.689 0.884
Dy 0.941 0.941 0.326
Sb 0.240 0.240 0.702
Sb 0.485 0.485 0.161
Sb 0.515 0.515 0.839
Sb 0.760 0.760 0.298

Magnetization: 0.2 μB/f.u.
E: -60.37 eV for the cell shown
DOS(E_F): 12.80 states/eV per cell
Raw formation energy: -4.02 eV per formula unit

---

# 6
A plane-wave DFT calculation with PBE-GGA was carried out for an optimized crystal structure of Ac5DySb6.

Unit cell a=8.202 b=8.202 c=8.202 alpha=99.62 beta=99.62 gamma=119.99
Sites, in units of the cell vectors:
Ac 0.000 0.000 0.000
Ac 0.165 0.835 0.500
Ac 0.330 0.670 0.000
Ac 0.670 0.330 0.000
Ac 0.835 0.165 0.500
Dy 0.500 0.500 0.500
Sb 0.099 0.420 0.259
Sb 0.261 0.261 0.744
Sb 0.420 0.099 0.259
Sb 0.580 0.901 0.741
Sb 0.739 0.739 0.256
Sb 0.901 0.580 0.741

Magnetization: 0.0 μB/f.u.
E: -64.05 eV for the cell shown
DOS(E_F): 1.16 states/eV per cell
Raw formation energy: -14.17 eV per formula unit

---

# 7
A plane-wave DFT calculation with PBE-GGA was carried out for an optimized crystal structure of AcDy3Sb3.

Unit cell a=9.311 b=9.311 c=5.697 alpha=90.00 beta=90.00 gamma=120.00
Sites, in units of the cell vectors:
Ac 0.333 0.667 0.250
Ac 0.667 0.333 0.750
Dy 0.014 0.245 0.250
Dy 0.232 0.986 0.250
Dy 0.245 0.232 0.750
Dy 0.755 0.768 0.250
Dy 0.768 0.014 0.750
Dy 0.986 0.755 0.750
Sb 0.060 0.418 0.750
Sb 0.358 0.940 0.750
Sb 0.418 0.358 0.250
Sb 0.582 0.642 0.750
Sb 0.642 0.060 0.250
Sb 0.940 0.582 0.250

Magnetization: 0.0 μB/f.u.
E: -71.91 eV for the cell shown
DOS(E_F): 10.86 states/eV per cell
Raw formation energy: -5.67 eV per formula unit

---

# 8
A plane-wave DFT calculation with PBE-GGA was carried out for an optimized crystal structure of AcDySb2.

Unit cell a=5.588 b=5.588 c=5.588 alpha=60.00 beta=60.00 gamma=60.00
Sites, in units of the cell vectors:
Ac 0.000 0.000 0.000
Dy 0.500 0.500 0.500
Sb 0.250 0.250 0.250
Sb 0.750 0.750 0.750

Magnetization: 0.0 μB/f.u.
E: -20.34 eV for the cell shown
DOS(E_F): 2.20 states/eV per cell
Raw formation energy: -3.38 eV per formula unit
ΔE to the lowest computed polymorph: 307 meV per atom

---

# 9
A plane-wave DFT calculation with PBE-GGA was carried out for an optimized crystal structure of Ac2DySb2Se2.

Unit cell a=8.787 b=8.787 c=8.787 alpha=141.75 beta=141.75 gamma=55.21
Sites, in units of the cell vectors:
Ac 0.130 0.130 0.000
Ac 0.870 0.870 0.000
Dy 0.500 0.500 0.000
Sb 0.000 0.500 0.500
Sb 0.500 0.000 0.500
Se 0.318 0.318 0.000
Se 0.682 0.682 0.000

Magnetization: 0.0 μB/f.u.
E: -35.67 eV for the cell shown
DOS(E_F): 4.21 states/eV per cell
Raw formation energy: -7.64 eV per formula unit

---

# 10
A plane-wave DFT calculation with PBE-GGA was carried out for an optimized crystal structure of AcTbDy2Sb4.

Unit cell a=7.788 b=4.501 c=7.791 alpha=90.00 beta=109.44 gamma=90.00
Sites, in units of the cell vectors:
Ac 0.000 0.000 0.000
Tb 0.000 0.500 0.500
Dy 0.500 0.000 0.500
Dy 0.500 0.500 0.000
Sb 0.258 0.000 0.743
Sb 0.266 0.500 0.265
Sb 0.734 0.500 0.735
Sb 0.742 0.000 0.257

Magnetization: 0.0 μB/f.u.
E: -43.43 eV for the cell shown
DOS(E_F): 1.06 states/eV per cell
Raw formation energy: -9.00 eV per formula unit

---

# 11
A plane-wave DFT calculation with PBE-GGA was carried out for an optimized crystal structure of Ac2TbDySb4.

Unit cell a=7.956 b=4.600 c=7.964 alpha=90.00 beta=109.48 gamma=90.00
Sites, in units of the cell vectors:
Ac 0.000 0.000 0.000
Ac 0.000 0.500 0.500
Tb 0.500 0.000 0.500
Dy 0.500 0.500 0.000
Sb 0.273 0.000 0.758
Sb 0.273 0.500 0.257
Sb 0.727 0.000 0.242
Sb 0.727 0.500 0.743

Magnetization: 0.0 μB/f.u.
E: -43.20 eV for the cell shown
DOS(E_F): 1.10 states/eV per cell
Raw formation energy: -9.26 eV per formula unit

---

# 12
A plane-wave DFT calculation with PBE-GGA was carried out for an optimized crystal structure of Ac2DySb2Te2.

Unit cell a=9.254 b=9.254 c=9.254 alpha=144.05 beta=144.05 gamma=51.75
Sites, in units of the cell vectors:
Ac 0.124 0.124 0.000
Ac 0.876 0.876 0.000
Dy 0.500 0.500 0.000
Sb 0.000 0.500 0.500
Sb 0.500 0.000 0.500
Te 0.317 0.317 0.000
Te 0.683 0.683 0.000

Magnetization: 0.0 μB/f.u.
E: -34.14 eV for the cell shown
DOS(E_F): 4.81 states/eV per cell
Raw formation energy: -6.79 eV per formula unit

---

Look up the magnetization of the sixth one.
0.0 μB/f.u.

---

What is the formula in the fourth record?
AcDy3Sb4